Computed, not measured: a relaxed structure of Na2CrF4 at the PBE+U level of DFT.

The space group is P2_1/m (No. 11) and the conventional cell measures 6.229, 5.927 and 6.280 Å, with angles of 90.00, 105.24 and 90.00 degrees. The inequivalent atoms are Na at (0.148, 0.250, 0.030), Na at (0.209, 0.250, 0.546), Cr at (0.309, 0.750, 0.812), F at (0.060, 0.526, 0.760), F at (0.433, 0.250, 0.329) and F at (0.453, 0.250, 0.883).

For the excess energy over the best structure of this formula in the dataset, the calculation gives 187.7 meV per atom. The value obtained for the magnetic moment is 0.571 μB/atom.